Entry 1:
Here is a geometry-optimized YSOF2 structure from the Alexandria database. Energies are from GGA-PBE.

Distance to the lowest polymorph of the same formula   0.0000 eV/atom
ΔE_f (raw)   -10.11 eV per formula unit
Magnetic moment   3.00 μB/cell
Calculated volume   17.69 A^3/atom
Symmetry   P4/mmm (123)
ρ   3.29 Mg/m³
Fermi-level density of states   0.017 states/eV/atom

```
YSOF2
1.0
4.404 0.000 0.000
0.000 4.404 0.000
0.000 0.000 4.560
O F S Y
1 2 1 1
Cartesian
0.000 0.000 2.280
0.000 2.202 0.000
2.202 0.000 0.000
2.202 2.202 2.280
0.000 0.000 0.000
```

---

Entry 2:
Here is a geometry-optimized Y3SOF5 structure from the Alexandria database. Energies are from GGA-PBE.

ΔE_f (raw)   -37.00 eV per formula unit
Magnetic moment   0.00 μB/cell
Calculated volume   14.33 A^3/atom
Symmetry   Pm (6)
ρ   4.75 Mg/m³
Fermi-level density of states   0.000 states/eV/atom

```
Y3SOF5
1.0
3.681 0.000 0.000
0.000 9.423 -0.004
0.000 4.667 8.258
F Y O S
10 6 2 2
Cartesian
0.000 6.501 6.910
1.841 10.311 7.863
0.000 3.086 4.676
1.841 11.025 3.568
1.841 6.984 5.162
1.841 7.559 1.231
0.000 12.044 7.261
1.841 1.912 0.973
0.000 9.643 2.266
1.841 4.481 5.902
1.841 11.604 5.899
0.000 2.513 2.238
1.841 8.512 3.325
0.000 5.552 4.822
1.841 7.994 7.409
0.000 6.112 1.107
0.000 7.119 3.193
0.000 3.853 0.431
1.841 4.659 2.790
0.000 9.438 5.509
```